Model P:
DFT (GGA-PBE) results for a relaxed structure of Li2RhO3.

Space group ... C2/c, No. 15
Magnetization ... 2.07 μB/cell

The structure in POSCAR format:
```
Li2RhO3
1.0
5.201 0.100 0.173
-1.058 4.994 -0.145
-1.058 -2.602 4.266
Li Rh O
4 2 6
Direct
0.250 0.916 0.084 Li
0.250 0.248 0.752 Li
0.750 0.084 0.916 Li
0.750 0.752 0.248 Li
0.250 0.589 0.411 Rh
0.750 0.411 0.589 Rh
0.996 0.199 0.348 O
0.496 0.348 0.199 O
0.000 0.500 0.000 O
0.004 0.801 0.652 O
0.500 0.000 0.500 O
0.504 0.652 0.801 O
```



Model Q:
DFT (GGA-PBE) results for a relaxed structure of Li2RhO3.

Space group ... C2/m, No. 12
Magnetization ... 2.07 μB/cell

The structure in POSCAR format:
```
Li2RhO3
1.0
5.151 0.011 0.008
-2.571 4.463 0.008
0.858 1.489 4.867
Li Rh O
4 2 6
Direct
0.500 0.500 0.000 Li
0.839 0.161 0.000 Li
0.161 0.839 0.000 Li
0.000 0.000 0.500 Li
0.667 0.333 0.500 Rh
0.333 0.667 0.500 Rh
0.573 0.922 0.734 O
0.427 0.078 0.266 O
0.732 0.732 0.262 O
0.922 0.573 0.734 O
0.078 0.427 0.266 O
0.268 0.268 0.738 O
```



The most stable arrangement is model Q, and the next structure is 0.031 eV/atom less stable.



Model P:
DFT (GGA-PBE) results for a relaxed structure of LiRh3O.

Space group ... Pm-3m, No. 221
Magnetization ... 3.56 μB/cell

The structure in POSCAR format:
```
LiRh3O
1.0
-4.009 -0.739 0.699
0.815 -0.630 4.005
-0.609 4.020 0.756
Rh O Li
3 1 1
Direct
0.000 0.500 0.000 Rh
0.000 0.000 0.500 Rh
0.500 0.000 0.000 Rh
0.500 0.500 0.500 O
0.000 0.000 0.000 Li
```



Model Q:
DFT (GGA-PBE) results for a relaxed structure of LiRh3O.

Space group ... Pm-3m, No. 221
Magnetization ... 0.00 μB/cell

The structure in POSCAR format:
```
LiRh3O
1.0
-2.039 1.536 -3.192
2.128 -2.413 -2.520
-2.832 -2.919 0.404
Rh O Li
3 1 1
Direct
0.000 0.500 0.000 Rh
0.000 0.000 0.500 Rh
0.500 0.000 0.000 Rh
0.000 0.000 0.000 O
0.500 0.500 0.500 Li
```



The most stable arrangement is model Q, and the next structure is 1.312 eV/atom less stable.



Model P:
DFT (GGA-PBE) results for a relaxed structure of Li3RhO4.

Space group ... Pmmn, No. 59
Magnetization ... 0.00 μB/cell

The structure in POSCAR format:
```
Li3RhO4
1.0
-1.257 3.917 -0.312
-1.865 -1.034 -5.466
-6.388 -1.849 2.530
Li Rh O
6 2 8
Direct
0.564 0.833 0.000 Li
0.064 0.665 0.248 Li
0.564 0.335 0.252 Li
0.064 0.167 0.500 Li
0.564 0.335 0.748 Li
0.064 0.665 0.752 Li
0.064 0.161 0.000 Rh
0.564 0.839 0.500 Rh
0.064 0.844 0.000 O
0.564 0.200 0.000 O
0.064 0.315 0.227 O
0.564 0.685 0.273 O
0.064 0.800 0.500 O
0.564 0.156 0.500 O
0.564 0.685 0.727 O
0.064 0.315 0.773 O
```



Model Q:
DFT (GGA-PBE) results for a relaxed structure of Li3RhO4.

Space group ... P2/c, No. 13
Magnetization ... 4.02 μB/cell

The structure in POSCAR format:
```
Li3RhO4
1.0
-3.574 0.646 -3.660
0.634 -5.013 1.016
-4.218 0.312 4.174
Rh O Li
2 8 6
Direct
0.750 0.000 0.860 Rh
0.250 0.000 0.140 Rh
0.983 0.245 0.637 O
0.503 0.225 0.889 O
0.483 0.245 0.363 O
0.003 0.225 0.111 O
0.997 0.775 0.889 O
0.517 0.755 0.637 O
0.497 0.775 0.111 O
0.017 0.755 0.363 O
0.750 0.000 0.381 Li
0.250 0.000 0.619 Li
0.750 0.500 0.605 Li
0.750 0.500 0.135 Li
0.250 0.500 0.395 Li
0.250 0.500 0.865 Li
```



The most stable arrangement is model Q, and the next structure is 0.099 eV/atom less stable.



Model P:
DFT (GGA-PBE) results for a relaxed structure of Li3RuO4.

Space group ... Pmmn, No. 59
Magnetization ... 1.51 μB/cell

The structure in POSCAR format:
```
Li3RuO4
1.0
-2.696 -2.681 1.405
3.715 -4.464 -1.391
2.894 0.426 6.366
Li Ru O
6 2 8
Direct
0.564 0.828 0.000 Li
0.064 0.667 0.244 Li
0.564 0.333 0.256 Li
0.064 0.172 0.500 Li
0.564 0.333 0.744 Li
0.064 0.667 0.756 Li
0.064 0.166 0.000 Ru
0.564 0.834 0.500 Ru
0.064 0.855 0.000 O
0.564 0.168 0.000 O
0.064 0.323 0.228 O
0.564 0.677 0.272 O
0.064 0.832 0.500 O
0.564 0.145 0.500 O
0.564 0.677 0.728 O
0.064 0.323 0.772 O
```



Model Q:
DFT (GGA-PBE) results for a relaxed structure of Li3RuO4.

Space group ... P2/c, No. 13
Magnetization ... 6.04 μB/cell

The structure in POSCAR format:
```
Li3RuO4
1.0
5.939 0.000 0.000
0.000 5.130 -0.002
0.000 1.777 4.863
Li Ru O
6 2 8
Direct
0.868 0.750 0.500 Li
0.391 0.750 0.500 Li
0.621 0.750 0.000 Li
0.609 0.250 0.500 Li
0.132 0.250 0.500 Li
0.379 0.250 0.000 Li
0.857 0.250 0.000 Ru
0.143 0.750 0.000 Ru
0.887 0.005 0.773 O
0.113 0.505 0.773 O
0.361 0.518 0.242 O
0.361 0.982 0.758 O
0.639 0.018 0.242 O
0.639 0.482 0.758 O
0.887 0.495 0.227 O
0.113 0.995 0.227 O
```



The most stable arrangement is model Q, and the next structure is 0.050 eV/atom less stable.



Model P:
DFT (GGA-PBE) results for a relaxed structure of LiRu2O2.

Space group ... I4/mmm, No. 139
Magnetization ... 0.76 μB/cell

The structure in POSCAR format:
```
LiRu2O2
1.0
3.703 0.000 0.000
0.000 3.703 0.000
1.851 1.851 4.487
Ru O Li
2 2 1
Direct
0.376 0.376 0.247 Ru
0.624 0.624 0.753 Ru
0.750 0.250 0.500 O
0.250 0.750 0.500 O
0.000 0.000 0.000 Li
```



Model Q:
DFT (GGA-PBE) results for a relaxed structure of LiRu2O2.

Space group ... P4/mbm, No. 127
Magnetization ... 4.13 μB/cell

The structure in POSCAR format:
```
LiRu2O2
1.0
7.047 0.000 0.000
0.000 7.047 0.000
0.000 0.000 2.734
Ru O Li
4 4 2
Direct
0.381 0.881 0.000 Ru
0.881 0.619 0.000 Ru
0.619 0.119 0.000 Ru
0.119 0.381 0.000 Ru
0.238 0.738 0.500 O
0.738 0.762 0.500 O
0.762 0.262 0.500 O
0.262 0.238 0.500 O
0.000 0.000 0.000 Li
0.500 0.500 0.000 Li
```



The most stable arrangement is model P, and the next structure is 0.197 eV/atom less stable.



Model P:
DFT (GGA-PBE) results for a relaxed structure of Li2RuO3.

Space group ... Immm, No. 71
Magnetization ... 0.77 μB/cell

The structure in POSCAR format:
```
Li2RuO3
1.0
2.988 0.000 0.000
0.000 3.869 0.000
0.000 0.000 9.376
Li Ru O
4 2 6
Direct
0.500 0.750 0.815 Li
0.000 0.250 0.685 Li
0.500 0.750 0.185 Li
0.000 0.250 0.315 Li
0.500 0.750 0.500 Ru
0.000 0.250 0.000 Ru
0.500 0.250 0.500 O
0.000 0.750 0.000 O
0.000 0.750 0.346 O
0.500 0.250 0.154 O
0.000 0.750 0.654 O
0.500 0.250 0.846 O
```



Model Q:
DFT (GGA-PBE) results for a relaxed structure of Li2RuO3.

Space group ... C2/m, No. 12
Magnetization ... 4.04 μB/cell

The structure in POSCAR format:
```
Li2RuO3
1.0
-2.157 4.269 1.778
-1.091 -4.493 2.162
2.665 0.519 4.439
Li Ru O
4 2 6
Direct
0.340 0.660 0.500 Li
0.000 0.000 0.500 Li
0.660 0.340 0.500 Li
0.500 0.500 0.000 Li
0.834 0.166 0.000 Ru
0.166 0.834 0.000 Ru
0.764 0.764 0.238 O
0.077 0.421 0.235 O
0.236 0.236 0.762 O
0.579 0.923 0.765 O
0.421 0.077 0.235 O
0.923 0.579 0.765 O
```



The most stable arrangement is model Q, and the next structure is 0.011 eV/atom less stable.



Model P:
DFT (GGA-PBE) results for a relaxed structure of LiRu3O.

Space group ... Pm-3m, No. 221
Magnetization ... 0.00 μB/cell

The structure in POSCAR format:
```
LiRu3O
1.0
-2.879 1.038 -2.634
-2.213 -3.168 1.170
-1.766 2.278 2.828
Ru O Li
3 1 1
Direct
0.000 0.500 0.000 Ru
0.000 0.000 0.500 Ru
0.500 0.000 0.000 Ru
0.000 0.000 0.000 O
0.500 0.500 0.500 Li
```



Model Q:
DFT (GGA-PBE) results for a relaxed structure of LiRu3O.

Space group ... Pm-3m, No. 221
Magnetization ... 3.86 μB/cell

The structure in POSCAR format:
```
LiRu3O
1.0
4.104 0.000 0.000
0.000 4.104 0.000
0.000 0.000 4.104
Ru O Li
3 1 1
Direct
0.000 0.500 0.000 Ru
0.000 0.000 0.500 Ru
0.500 0.000 0.000 Ru
0.500 0.500 0.500 O
0.000 0.000 0.000 Li
```



The most stable arrangement is model P, and the next structure is 1.521 eV/atom less stable.



Model P:
DFT (GGA-PBE) results for a relaxed structure of LiSm2SO2.

Space group ... P-3m1, No. 164
Magnetization ... 0.00 μB/cell

The structure in POSCAR format:
```
LiSm2SO2
1.0
-3.344 -0.735 1.276
2.947 -1.142 1.833
0.080 7.258 4.394
Li Sm S O
1 2 1 2
Direct
0.000 0.000 0.500 Li
0.333 0.667 0.214 Sm
0.667 0.333 0.786 Sm
0.000 0.000 0.000 S
0.333 0.667 0.650 O
0.667 0.333 0.350 O
```



Model Q:
DFT (GGA-PBE) results for a relaxed structure of LiSm2SO2.

Space group ... P3m1, No. 156
Magnetization ... 0.23 μB/cell

The structure in POSCAR format:
```
LiSm2SO2
1.0
-0.617 -2.024 3.407
3.324 2.198 -0.453
-3.470 5.834 2.837
Li Sm S O
1 2 1 2
Direct
0.333 0.667 0.917 Li
0.333 0.667 0.320 Sm
0.667 0.333 0.674 Sm
0.000 0.000 0.998 S
0.333 0.667 0.652 O
0.667 0.333 0.359 O
```



The most stable arrangement is model Q, and the next structure is 0.073 eV/atom less stable.



Model P:
DFT (GGA-PBE) results for a relaxed structure of LiTmU2S3O2.

Space group ... Cm, No. 8
Magnetization ... 5.67 μB/cell

The structure in POSCAR format:
```
LiTmU2S3O2
1.0
0.972 -3.661 0.387
1.035 0.656 3.605
-9.836 -2.270 3.237
Li Tm U S O
1 1 2 3 2
Direct
0.922 0.922 0.505 Li
0.919 0.919 0.006 Tm
0.421 0.421 0.654 U
0.421 0.421 0.357 U
0.921 0.921 0.258 S
0.921 0.921 0.754 S
0.419 0.419 0.008 S
0.421 0.921 0.506 O
0.921 0.421 0.506 O
```



Model Q:
DFT (GGA-PBE) results for a relaxed structure of LiTmU2S3O2.

Space group ... Amm2, No. 38
Magnetization ... 5.62 μB/cell

The structure in POSCAR format:
```
LiTmU2S3O2
1.0
1.906 -11.318 0.000
1.906 11.318 0.000
0.000 0.000 3.864
Li Tm U S O
1 1 2 3 2
Direct
0.410 0.590 0.500 Li
0.011 0.989 0.000 Tm
0.292 0.708 0.000 U
0.677 0.323 0.500 U
0.128 0.872 0.000 S
0.889 0.111 0.000 S
0.516 0.484 0.500 S
0.740 0.260 0.000 O
0.242 0.758 0.500 O
```



The most stable arrangement is model Q, and the next structure is 0.044 eV/atom less stable.



Model P:
DFT (GGA-PBE) results for a relaxed structure of Li3SbO.

Space group ... Pm-3m, No. 221
Magnetization ... 0.00 μB/cell

The structure in POSCAR format:
```
Li3SbO
1.0
-2.913 1.338 -2.522
-0.261 -3.713 -1.668
-2.843 -1.030 2.737
Sb O Li
1 1 3
Direct
0.500 0.500 0.500 Sb
0.000 0.000 0.000 O
0.000 0.500 0.000 Li
0.000 0.000 0.500 Li
0.500 0.000 0.000 Li
```



Model Q:
DFT (GGA-PBE) results for a relaxed structure of Li3SbO.

Space group ... Pm-3m, No. 221
Magnetization ... 2.00 μB/cell

The structure in POSCAR format:
```
Li3SbO
1.0
5.191 0.000 0.000
0.000 5.191 0.000
0.000 0.000 5.191
Sb O Li
1 1 3
Direct
0.000 0.000 0.000 Sb
0.500 0.500 0.500 O
0.000 0.500 0.000 Li
0.000 0.000 0.500 Li
0.500 0.000 0.000 Li
```



The most stable arrangement is model P, and the next structure is 1.115 eV/atom less stable.



Model P:
DFT (GGA-PBE) results for a relaxed structure of Li5SbO4.

Space group ... P2_1/m, No. 11
Magnetization ... 0.00 μB/cell

The structure in POSCAR format:
```
Li5SbO4
1.0
-4.751 1.777 -0.301
0.746 -1.474 7.666
2.035 5.591 0.877
Li Sb O
10 2 8
Direct
0.829 0.140 0.265 Li
0.829 0.140 0.735 Li
0.332 0.039 0.500 Li
0.760 0.784 0.237 Li
0.760 0.784 0.763 Li
0.240 0.716 0.263 Li
0.240 0.716 0.737 Li
0.668 0.461 0.000 Li
0.171 0.360 0.765 Li
0.171 0.360 0.235 Li
0.328 0.032 0.000 Sb
0.672 0.468 0.500 Sb
0.896 0.298 0.000 O
0.517 0.950 0.253 O
0.517 0.950 0.747 O
0.041 0.811 0.000 O
0.959 0.689 0.500 O
0.483 0.550 0.247 O
0.483 0.550 0.753 O
0.104 0.202 0.500 O
```



Model Q:
DFT (GGA-PBE) results for a relaxed structure of Li5SbO4.

Space group ... Pmmn, No. 59
Magnetization ... 0.00 μB/cell

The structure in POSCAR format:
```
Li5SbO4
1.0
-2.063 0.539 -4.158
-4.356 -4.224 1.613
-4.465 5.734 2.958
Li Sb O
10 2 8
Direct
0.241 0.757 0.823 Li
0.241 0.243 0.823 Li
0.787 0.500 0.000 Li
0.241 0.757 0.177 Li
0.241 0.243 0.177 Li
0.759 0.743 0.323 Li
0.759 0.257 0.323 Li
0.213 0.000 0.500 Li
0.759 0.257 0.677 Li
0.759 0.743 0.677 Li
0.829 0.000 0.000 Sb
0.171 0.500 0.500 Sb
0.974 0.000 0.723 O
0.542 0.766 0.000 O
0.542 0.234 0.000 O
0.974 0.000 0.277 O
0.026 0.500 0.223 O
0.458 0.734 0.500 O
0.458 0.266 0.500 O
0.026 0.500 0.777 O
```



The most stable arrangement is model P, and the next structure is 0.095 eV/atom less stable.